1.
PrTaB4 GGA-PBE optimized geometry; energy = -0.574 Ry per atom; crystal system = hexagonal
1.0
3.162 0.000 0.000
-1.581 2.738 0.000
0.000 0.000 7.648
Pr Ta B
1 1 4
Cartesian
0.000 0.000 0.000 Pr
0.000 0.000 3.824 Ta
0.000 1.825 2.182 B
0.000 1.825 5.466 B
1.581 0.913 2.182 B
1.581 0.913 5.466 B


2.
NiAgPdPb GGA-PBE optimized geometry; energy = -0.315 Ry per atom; crystal system = cubic
1.0
6.491 0.000 0.000
0.000 6.491 0.000
0.000 0.000 6.491
Ni Ag Pd Pb
4 4 4 4
Cartesian
0.000 0.000 0.000 Ni
0.000 3.245 3.245 Ni
3.245 0.000 3.245 Ni
3.245 3.245 0.000 Ni
1.623 1.623 1.623 Ag
1.623 4.868 4.868 Ag
4.868 1.623 4.868 Ag
4.868 4.868 1.623 Ag
0.000 0.000 3.245 Pd
0.000 3.245 0.000 Pd
3.245 0.000 0.000 Pd
3.245 3.245 3.245 Pd
1.623 1.623 4.868 Pb
1.623 4.868 1.623 Pb
4.868 1.623 1.623 Pb
4.868 4.868 4.868 Pb


3.
KNbSi2O7 GGA-PBE optimized geometry; energy = -0.575 Ry per atom; crystal system = tetragonal
1.0
8.799 0.000 0.000
0.000 8.799 0.000
0.000 0.000 8.075
K Nb Si O
4 4 8 28
Cartesian
1.565 2.834 0.000 K
2.834 7.234 0.000 K
5.965 1.565 0.000 K
7.234 5.965 0.000 K
0.000 0.000 1.828 Nb
0.000 0.000 5.895 Nb
4.400 4.400 1.828 Nb
4.400 4.400 5.895 Nb
1.084 5.483 2.477 Si
1.086 5.485 5.688 Si
3.316 1.084 2.477 Si
3.314 1.086 5.688 Si
5.483 7.715 2.477 Si
5.485 7.713 5.688 Si
7.715 3.316 2.477 Si
7.713 3.314 5.688 Si
0.000 0.000 0.013 O
0.000 0.000 4.074 O
0.000 4.400 1.874 O
0.000 4.400 6.298 O
0.679 6.929 1.903 O
0.674 6.938 6.252 O
1.040 5.440 4.083 O
1.861 0.674 6.252 O
1.871 0.679 1.903 O
2.529 5.078 1.903 O
2.538 5.073 6.252 O
3.359 1.040 4.083 O
3.721 2.529 1.903 O
3.726 2.538 6.252 O
4.400 0.000 1.874 O
4.400 0.000 6.298 O
4.400 4.400 0.013 O
4.400 4.400 4.074 O
5.073 6.261 6.252 O
5.078 6.270 1.903 O
5.440 7.759 4.083 O
6.261 3.726 6.252 O
6.270 3.721 1.903 O
6.929 8.121 1.903 O
6.938 8.125 6.252 O
7.759 3.359 4.083 O
8.125 1.861 6.252 O
8.121 1.871 1.903 O


4.
TaNiBPt GGA-PBE optimized geometry; energy = -0.536 Ry per atom; crystal system = cubic
1.0
5.971 0.000 0.000
0.000 5.971 0.000
0.000 0.000 5.971
Ta Ni B Pt
4 4 4 4
Cartesian
0.000 0.000 0.000 Ta
0.000 2.986 2.986 Ta
2.986 0.000 2.986 Ta
2.986 2.986 0.000 Ta
1.493 1.493 4.478 Ni
1.493 4.478 1.493 Ni
4.478 1.493 1.493 Ni
4.478 4.478 4.478 Ni
0.000 0.000 2.986 B
0.000 2.986 0.000 B
2.986 0.000 0.000 B
2.986 2.986 2.986 B
1.493 1.493 1.493 Pt
1.493 4.478 4.478 Pt
4.478 1.493 4.478 Pt
4.478 4.478 1.493 Pt


5.
DyZrSn GGA-PBE optimized geometry; energy = -0.398 Ry per atom; crystal system = cubic
1.0
7.104 0.000 0.000
0.000 7.104 0.000
0.000 0.000 7.104
Dy Zr Sn
4 4 4
Cartesian
0.000 0.000 0.000 Dy
0.000 3.552 3.552 Dy
3.552 0.000 3.552 Dy
3.552 3.552 0.000 Dy
1.776 1.776 1.776 Zr
1.776 5.328 5.328 Zr
5.328 1.776 5.328 Zr
5.328 5.328 1.776 Zr
0.000 0.000 3.552 Sn
0.000 3.552 0.000 Sn
3.552 0.000 0.000 Sn
3.552 3.552 3.552 Sn


6.
NdAl3Pd GGA-PBE optimized geometry; energy = -0.363 Ry per atom; crystal system = tetragonal
1.0
4.312 0.000 0.000
0.000 4.312 0.000
0.000 0.000 10.728
Nd Al Pd
2 6 2
Cartesian
0.000 0.000 0.000 Nd
2.156 2.156 5.364 Nd
0.000 0.000 4.420 Al
0.000 2.156 2.763 Al
0.000 2.156 8.127 Al
2.156 0.000 2.763 Al
2.156 0.000 8.127 Al
2.156 2.156 9.784 Al
0.000 0.000 6.880 Pd
2.156 2.156 1.516 Pd


7.
HoErZr2P2 GGA-PBE optimized geometry; energy = -0.530 Ry per atom; crystal system = tetragonal
1.0
4.000 0.000 0.000
0.000 4.000 0.000
0.000 0.000 15.430
Ho Er Zr P
2 2 4 4
Cartesian
0.000 0.000 0.000 Ho
2.000 2.000 7.715 Ho
0.000 0.000 5.511 Er
2.000 2.000 13.226 Er
0.000 2.000 2.759 Zr
0.000 2.000 10.474 Zr
2.000 0.000 2.759 Zr
2.000 0.000 10.474 Zr
0.000 0.000 8.427 P
0.000 0.000 12.518 P
2.000 2.000 0.712 P
2.000 2.000 4.802 P


8.
NdPbAuSe3 GGA-PBE optimized geometry; energy = -0.340 Ry per atom; crystal system = orthorhombic
1.0
13.919 0.000 0.000
0.000 4.170 0.000
0.000 0.000 11.314
Nd Pb Au Se
4 4 4 12
Cartesian
0.107 1.043 1.972 Nd
6.853 3.128 7.629 Nd
7.066 1.043 3.684 Nd
13.813 3.128 9.341 Nd
3.026 1.043 5.035 Pb
3.933 3.128 10.692 Pb
9.986 1.043 0.621 Pb
10.893 3.128 6.278 Pb
0.056 3.128 4.582 Au
6.904 1.043 10.239 Au
7.015 3.128 1.074 Au
13.863 1.043 6.731 Au
1.565 1.043 10.657 Se
1.714 3.128 7.007 Se
2.041 3.128 2.866 Se
4.918 1.043 8.523 Se
5.246 1.043 1.350 Se
5.395 3.128 5.000 Se
8.524 1.043 6.313 Se
8.673 3.128 9.963 Se
9.001 3.128 2.790 Se
11.878 1.043 8.447 Se
12.206 1.043 4.306 Se
12.354 3.128 0.656 Se


9.
SmOsPd GGA-PBE optimized geometry; crystal system = cubic; energy of formation = 854 meV per atom
1.0
6.471 0.000 0.000
0.000 6.471 0.000
0.000 0.000 6.471
Sm Os Pd
4 4 4
Cartesian
0.000 0.000 0.000 Sm
0.000 3.236 3.236 Sm
3.236 0.000 3.236 Sm
3.236 3.236 0.000 Sm
1.618 1.618 4.854 Os
1.618 4.854 1.618 Os
4.854 1.618 1.618 Os
4.854 4.854 4.854 Os
1.618 1.618 1.618 Pd
1.618 4.854 4.854 Pd
4.854 1.618 4.854 Pd
4.854 4.854 1.618 Pd


10.
TmTcNO GGA-PBE optimized geometry; energy = -0.645 Ry per atom; crystal system = orthorhombic
1.0
5.438 0.000 0.000
0.000 7.724 0.000
0.000 0.000 5.122
Tm Tc N O
4 4 4 4
Cartesian
0.099 1.094 0.000 Tm
2.620 1.094 2.561 Tm
2.818 6.630 0.000 Tm
5.339 6.630 2.561 Tm
0.676 3.731 3.508 Tc
2.043 3.731 0.947 Tc
3.395 3.993 3.508 Tc
4.763 3.993 0.947 Tc
0.517 2.676 1.835 N
2.202 2.676 4.396 N
3.236 5.048 1.835 N
4.921 5.048 4.396 N
1.358 7.595 1.259 O
1.361 7.595 3.820 O
4.077 0.130 1.259 O
4.080 0.130 3.820 O


11.
SrTbCuTe2Se GGA-PBE optimized geometry; energy = -0.339 Ry per atom; crystal system = orthorhombic
1.0
2.120 -7.255 0.000
2.120 7.255 0.000
0.000 0.000 10.764
Sr Tb Cu Te Se
2 2 2 4 2
Cartesian
2.120 3.874 8.073 Sr
2.120 -3.874 2.691 Sr
2.120 0.000 0.000 Tb
2.120 0.000 5.382 Tb
2.120 6.878 2.691 Cu
2.120 -6.878 8.073 Cu
2.120 5.143 0.692 Te
2.120 5.143 4.690 Te
2.120 -5.143 6.074 Te
2.120 -5.143 10.071 Te
2.120 1.034 2.691 Se
2.120 -1.034 8.073 Se


12.
Ac2ReAg GGA-PBE optimized geometry; crystal system = hexagonal; energy of formation = 1114 meV per atom
1.0
3.467 0.000 0.000
-1.733 3.002 0.000
0.000 0.000 10.979
Ac Re Ag
2 1 1
Cartesian
0.000 0.000 2.720 Ac
0.000 0.000 8.259 Ac
0.000 0.000 5.490 Re
1.733 1.001 0.000 Ag


13.
Si2HgW GGA-PBE optimized geometry; energy = -0.369 Ry per atom; crystal system = cubic
1.0
6.476 0.000 0.000
0.000 6.476 0.000
0.000 0.000 6.476
Si Hg W
8 4 4
Cartesian
0.000 0.000 0.000 Si
0.000 3.238 3.238 Si
1.619 1.619 1.619 Si
1.619 4.857 4.857 Si
3.238 0.000 3.238 Si
3.238 3.238 0.000 Si
4.857 1.619 4.857 Si
4.857 4.857 1.619 Si
1.619 1.619 4.857 Hg
1.619 4.857 1.619 Hg
4.857 1.619 1.619 Hg
4.857 4.857 4.857 Hg
0.000 0.000 3.238 W
0.000 3.238 0.000 W
3.238 0.000 0.000 W
3.238 3.238 3.238 W


14.
ThTl2Hg GGA-PBE optimized geometry; energy = -0.242 Ry per atom; crystal system = tetragonal
1.0
4.792 0.000 0.000
0.000 4.792 0.000
0.000 0.000 4.772
Th Tl Hg
1 2 1
Cartesian
0.000 0.000 0.000 Th
0.000 2.396 2.386 Tl
2.396 0.000 2.386 Tl
2.396 2.396 0.000 Hg


15.
NdU2Cd2 GGA-PBE optimized geometry; crystal system = tetragonal; energy of formation = 254 meV per atom
1.0
3.923 0.000 0.000
0.000 3.923 0.000
0.000 0.000 16.289
Nd U Cd
2 4 4
Cartesian
0.000 0.000 0.000 Nd
1.962 1.962 8.144 Nd
0.000 1.962 4.072 U
0.000 1.962 12.216 U
1.962 0.000 4.072 U
1.962 0.000 12.216 U
0.000 0.000 6.592 Cd
0.000 0.000 9.696 Cd
1.962 1.962 1.552 Cd
1.962 1.962 14.736 Cd


16.
Zr3PPt GGA-PBE optimized geometry; energy = -0.619 Ry per atom; crystal system = orthorhombic
1.0
1.812 -5.845 0.000
1.812 5.845 0.000
0.000 0.000 9.616
Zr P Pt
6 2 2
Cartesian
1.812 5.028 7.212 Zr
1.812 1.704 5.468 Zr
1.812 1.704 8.955 Zr
1.812 -1.704 0.660 Zr
1.812 -1.704 4.148 Zr
1.812 -5.028 2.404 Zr
0.000 0.000 0.000 P
0.000 0.000 4.808 P
1.812 2.907 2.404 Pt
1.812 -2.907 7.212 Pt


17.
YCdGe2 GGA-PBE optimized geometry; energy = -0.312 Ry per atom; crystal system = cubic
1.0
7.104 0.000 0.000
0.000 7.104 0.000
0.000 0.000 7.104
Y Cd Ge
4 4 8
Cartesian
0.000 0.000 0.000 Y
0.000 3.552 3.552 Y
3.552 0.000 3.552 Y
3.552 3.552 0.000 Y
1.776 1.776 1.776 Cd
1.776 5.328 5.328 Cd
5.328 1.776 5.328 Cd
5.328 5.328 1.776 Cd
0.000 0.000 3.552 Ge
0.000 3.552 0.000 Ge
1.776 1.776 5.328 Ge
1.776 5.328 1.776 Ge
3.552 0.000 0.000 Ge
3.552 3.552 3.552 Ge
5.328 1.776 1.776 Ge
5.328 5.328 5.328 Ge


18.
ScBeZnSn GGA-PBE optimized geometry; energy = -0.273 Ry per atom; crystal system = cubic
1.0
6.596 0.000 0.000
0.000 6.596 0.000
0.000 0.000 6.596
Sc Be Zn Sn
4 4 4 4
Cartesian
0.000 0.000 0.000 Sc
0.000 3.298 3.298 Sc
3.298 0.000 3.298 Sc
3.298 3.298 0.000 Sc
0.000 0.000 3.298 Be
0.000 3.298 0.000 Be
3.298 0.000 0.000 Be
3.298 3.298 3.298 Be
1.649 1.649 1.649 Zn
1.649 4.947 4.947 Zn
4.947 1.649 4.947 Zn
4.947 4.947 1.649 Zn
1.649 1.649 4.947 Sn
1.649 4.947 1.649 Sn
4.947 1.649 1.649 Sn
4.947 4.947 4.947 Sn


19.
PrSn3 GGA-PBE optimized geometry; energy = -0.346 Ry per atom; crystal system = cubic
1.0
4.770 0.000 0.000
0.000 4.770 0.000
0.000 0.000 4.770
Pr Sn
1 3
Cartesian
0.000 0.000 0.000 Pr
0.000 2.385 2.385 Sn
2.385 0.000 2.385 Sn
2.385 2.385 0.000 Sn


20.
Ho2B5 GGA-PBE optimized geometry; energy = -0.478 Ry per atom; crystal system = orthorhombic
1.0
3.261 0.000 0.000
0.000 6.673 0.000
0.000 0.000 7.668
Ho B
4 10
Cartesian
0.000 0.000 1.883 Ho
0.000 0.000 5.785 Ho
1.630 3.336 1.951 Ho
1.630 3.336 5.717 Ho
0.000 1.757 3.834 B
0.000 2.418 0.000 B
0.000 3.336 3.834 B
0.000 4.255 0.000 B
0.000 4.916 3.834 B
1.630 0.000 0.000 B
1.630 0.918 3.834 B
1.630 1.580 0.000 B
1.630 5.093 0.000 B
1.630 5.755 3.834 B